Computed, not measured: a crystal of KBe2P2 relaxed with PBEsol at the meta-GGA SCAN level of DFT.

```
KBe2P2
1.0
3.440 0.000 0.000
0.000 3.440 0.000
0.000 0.000 14.358
K Be P
2 4 4
Direct
0.000 0.000 0.000
0.500 0.500 0.500
0.000 0.500 0.250
0.000 0.500 0.750
0.500 0.000 0.250
0.500 0.000 0.750
0.000 0.000 0.346
0.000 0.000 0.654
0.500 0.500 0.154
0.500 0.500 0.846
```

Computed properties:
Its energy of formation from the pure elements is -460.0 meV/atom. As for the crystal system: tetragonal. Its magnetic moment is 0.000 Bohr magnetons per cell.

Computed, not measured: a crystal of KBePS2 relaxed with PBEsol at the meta-GGA SCAN level of DFT.

```
KBePS2
1.0
4.659 0.000 0.000
0.000 4.659 0.000
0.000 0.000 4.193
K Be P S
1 1 1 2
Direct
0.000 0.000 0.000
0.500 0.500 0.500
0.500 0.500 0.000
0.000 0.500 0.500
0.500 0.000 0.500
```

Computed properties:
As for the electronic total energy: -8.49 eV per atom. As for the crystal system: tetragonal. Its magnetic moment is 0.000 Bohr magnetons per cell.

Computed, not measured: a crystal of KBePS2 relaxed with PBEsol at the meta-GGA SCAN level of DFT.

```
KBePS2
1.0
5.177 0.000 0.000
0.000 5.177 0.000
0.000 0.000 5.121
K Be P S
1 1 1 2
Direct
0.000 0.000 0.000
0.500 0.500 0.500
0.000 0.000 0.500
0.000 0.500 0.000
0.500 0.000 0.000
```

Computed properties:
As for the electronic total energy: -6.50 eV per atom. As for the crystal system: tetragonal. Its magnetic moment is 0.653 Bohr magnetons per cell.

Computed, not measured: a crystal of KBePb2 relaxed with PBEsol at the meta-GGA SCAN level of DFT.

```
KBePb2
1.0
3.754 0.000 0.000
0.000 4.223 0.000
-1.704 0.000 7.225
K Be Pb
1 1 2
Direct
0.000 0.000 0.000
0.500 0.000 0.500
0.331 0.500 0.674
0.669 0.500 0.326
```

Computed properties:
Its energy of formation from the pure elements is 91.8 meV/atom. As for the crystal system: monoclinic. Its magnetic moment is 0.000 Bohr magnetons per cell.

Computed, not measured: a crystal of KBePb relaxed with PBEsol at the meta-GGA SCAN level of DFT.

```
KBePb
1.0
7.310 0.000 0.000
0.000 7.310 0.000
0.000 0.000 7.310
K Be Pb
4 4 4
Direct
0.000 0.000 0.000
0.000 0.500 0.500
0.500 0.000 0.500
0.500 0.500 0.000
0.250 0.250 0.750
0.250 0.750 0.250
0.750 0.250 0.250
0.750 0.750 0.750
0.250 0.250 0.250
0.250 0.750 0.750
0.750 0.250 0.750
0.750 0.750 0.250
```

Computed properties:
Its energy of formation from the pure elements is 1170.0 meV/atom. As for the crystal system: cubic. Its magnetic moment is 0.000 Bohr magnetons per cell.

Computed, not measured: a crystal of KBePb2 relaxed with PBEsol at the meta-GGA SCAN level of DFT.

```
KBePb2
1.0
4.200 0.000 0.000
-2.100 3.637 0.000
0.000 0.000 22.745
K Be Pb
3 3 6
Direct
0.000 0.000 0.000
0.333 0.667 0.667
0.667 0.333 0.333
0.000 0.000 0.828
0.333 0.667 0.495
0.667 0.333 0.162
0.000 0.000 0.214
0.000 0.000 0.447
0.333 0.667 0.114
0.333 0.667 0.880
0.667 0.333 0.547
0.667 0.333 0.780
```

Computed properties:
Its energy of formation from the pure elements is 45.1 meV/atom. As for the crystal system: trigonal. Its magnetic moment is 0.000 Bohr magnetons per cell.